Computed, not measured: a relaxed structure of CeDy2Hf at the PBE level of DFT.

Crystal system: trigonal
Energy of formation from the pure elements in eV/atom: 0.143
Magnetization in μB/f.u.: 0.98
Symmetry: R3m (160)
Excess energy over the best structure of this formula in the dataset in meV/atom: 4
Electronic total energy in eV/atom: -6.130

Lattice parameters (Å, degrees): 3.3849 3.3849 11.4632 81.51 81.51 60.00
Site moments in Bohr magnetons follow the coordinates.
Positions (direct):
Ce  0.5003  0.5003  0.4992  0.71
Dy  0.2554  0.2554  0.2337  0.01
Dy  0.0778  0.0778  0.7667  0.05
Hf  0.6665  0.6665  0.0005  0.01

=====

Computed, not measured: a relaxed structure of PrZn3Ni2 at the PBE level of DFT.

Crystal system: trigonal
Energy of formation from the pure elements in eV/atom: -0.031
Magnetization in μB/f.u.: 0.00
Symmetry: R-3m (166)
Electronic total energy in eV/atom: -3.391

Lattice parameters (Å, degrees): 6.0588 6.0588 7.4296 65.94 65.94 60.00
Positions (direct):
Zn  0.2690  0.2690  0.7269
Zn  0.2649  0.7310  0.2731
Zn  0.2690  0.7351  0.7269
Zn  0.7310  0.7310  0.2731
Zn  0.7351  0.2690  0.7269
Zn  0.7310  0.2649  0.2731
Ni  0.0000  0.5000  0.0000
Ni  0.5000  0.0000  0.0000
Ni  0.5000  0.5000  0.0000
Ni  0.0000  0.0000  0.0000
Pr  0.2197  0.2197  0.3408
Pr  0.7803  0.7803  0.6592